VASP calculation (PBE-GGA) on a geometry-optimized TiF structure.

Structure (POSCAR):
```
TiF
1.0
-5.1743 -0.8935 4.5275
3.4518 -8.0262 2.3611
3.6494 2.9688 4.7567
Ti F
16 16
Direct
0.8019 0.5000 0.0000
0.3019 0.0000 0.0000
0.8019 0.0000 0.5000
0.1981 0.5000 0.0000
0.5519 0.7500 0.2500
0.6981 0.0000 0.0000
0.1981 0.0000 0.5000
0.4481 0.2500 0.2500
0.6981 0.5000 0.5000
0.4481 0.7500 0.7500
0.0519 0.2500 0.2500
0.9481 0.2500 0.7500
0.5519 0.2500 0.7500
0.3019 0.5000 0.5000
0.9481 0.7500 0.2500
0.0519 0.7500 0.7500
0.7500 0.3782 0.2500
0.5000 0.1282 0.5000
0.0000 0.6282 0.5000
0.7500 0.8782 0.7500
0.0000 0.8718 0.0000
0.0000 0.1282 0.0000
0.7500 0.6218 0.7500
0.2500 0.3782 0.7500
0.2500 0.8782 0.2500
0.0000 0.3718 0.5000
0.5000 0.8718 0.5000
0.2500 0.1218 0.7500
0.7500 0.1218 0.2500
0.5000 0.3718 0.0000
0.5000 0.6282 0.0000
0.2500 0.6218 0.2500
```

Calculated values
Density ... 4.23 g/cm3
E_form (uncorrected) ... -365 kJ/mol of formula units
VASP energy ... -6.777 eV/atom
ΔE to the lowest computed polymorph ... 394.4 meV/atom